[1]
# Cs2ThAlSe5

A relaxed Cs2ThAlSe5 crystal (PBE, Alexandria via LeMat-Bulk).

Cell lengths 4.1278, 11.1860, 15.6530 Å; angles 90.00, 90.00, 100.63 degrees
Atoms (fractional coordinates):
Cs  0.8681  0.7362  0.1906
Cs  0.1245  0.2491  0.3247
Se  0.3183  0.6366  0.3892
Se  0.9412  0.8825  0.5131
Cs  0.8755  0.7509  0.8247
Se  0.0588  0.1175  0.0131
Cs  0.1319  0.2638  0.6906
Se  0.4865  0.9730  0.2999
Al  0.5729  0.1459  0.9247
Al  0.4271  0.8541  0.4247
Se  0.6727  0.3453  0.5064
Se  0.6817  0.3634  0.8892
Se  0.6929  0.3857  0.1502
Se  0.3273  0.6547  0.0064
Se  0.3071  0.6143  0.6502
Th  0.8007  0.6013  0.5251
Th  0.1993  0.3987  0.0251
Se  0.5135  0.0270  0.7999

Summary:
Formation energy (no corrections) (eV per atom): -1.213

***

[2]
# DyHoIr2

A relaxed DyHoIr2 crystal (PBE, Alexandria via LeMat-Bulk).

Cell lengths 4.8362, 4.8362, 4.8362 Å; angles 60.00, 60.00, 60.00 degrees
Atoms (fractional coordinates):
Ho  0.5000  0.5000  0.5000
Ir  0.2500  0.2500  0.2500
Dy  0.0000  0.0000  0.0000
Ir  0.7500  0.7500  0.7500

Summary:
Energy relative to the elements (eV per atom): -0.829
Excess energy over the best structure of this formula in the dataset (meV per atom): 7

***

[3]
# Zn4TcRh

A relaxed Zn4TcRh crystal (PBE, Alexandria via LeMat-Bulk).

Cell lengths 4.9056, 4.9056, 4.9056 Å; angles 60.00, 60.00, 60.00 degrees
Atoms (fractional coordinates):
Tc  0.0000  0.0000  0.0000
Zn  0.3748  0.3748  0.3748
Zn  0.8757  0.3748  0.3748
Rh  0.7500  0.7500  0.7500
Zn  0.3748  0.8757  0.3748
Zn  0.3748  0.3748  0.8757

Summary:
Energy relative to the elements (eV per atom): 0.045

***

| no. | total DFT energy (no corrections) (hartree per atom) |
| --- | --- |
| 1 | -0.1683 |
| 2 | -0.2776 |
| 3 | -0.1381 |